Cs2Ag2I5 (GGA-PBE, optimized geometry); raw formation energy = -0.7712 eV per atom
1.0
7.754 -2.945 0.000
7.754 2.945 0.000
-2.021 0.000 9.117
Cs Ag I
2 2 5
Direct
0.099 0.099 0.290
0.901 0.901 0.710
0.341 0.341 0.127
0.659 0.659 0.873
0.182 0.182 0.898
0.356 0.356 0.429
0.500 0.500 0.000
0.644 0.644 0.571
0.818 0.818 0.102